Entry 1:
## Na3Pu3MnSe8 (PBE)

Data for a geometry-optimized Na3Pu3MnSe8 structure.

```
Na3Pu3MnSe8
1.0
4.095 2.364 7.002
-4.095 2.364 7.002
0.000 -4.729 7.002
Na Pu Mn Se
3 3 1 8
direct
0.000 0.500 0.500 Na
0.500 0.000 0.500 Na
0.500 0.500 0.000 Na
0.000 0.000 0.500 Pu
0.000 0.500 0.000 Pu
0.500 0.000 0.000 Pu
0.500 0.500 0.500 Mn
0.244 0.244 0.244 Se
0.259 0.727 0.727 Se
0.273 0.273 0.741 Se
0.273 0.741 0.273 Se
0.727 0.259 0.727 Se
0.727 0.727 0.259 Se
0.741 0.273 0.273 Se
0.756 0.756 0.756 Se
```

## Properties
For the total energy, the calculation gives -101.9 eV/cell. Its space group is R-3m, No. 166. The calculation puts the density of states at the Fermi level at 26.3 states/eV/f.u. The calculation puts the formation energy without anion corrections at -1196 meV/atom.

Entry 2:
## CsU2Se5 (PBE)

Data for a geometry-optimized CsU2Se5 structure.

```
CsU2Se5
1.0
4.383 0.000 0.000
0.000 7.231 0.000
0.000 0.000 14.912
Cs U Se
2 4 10
direct
0.000 0.000 0.000 Cs
0.500 0.500 0.500 Cs
0.000 0.500 0.186 U
0.000 0.500 0.814 U
0.500 0.000 0.314 U
0.500 0.000 0.686 U
0.000 0.250 0.340 Se
0.000 0.250 0.660 Se
0.000 0.500 0.000 Se
0.000 0.750 0.340 Se
0.000 0.750 0.660 Se
0.500 0.000 0.500 Se
0.500 0.250 0.160 Se
0.500 0.250 0.840 Se
0.500 0.750 0.160 Se
0.500 0.750 0.840 Se
```

## Properties
For the total energy, the calculation gives -100.5 eV/cell. Its space group is Immm, No. 71. The calculation puts the density of states at the Fermi level at 11.5 states/eV/f.u. The calculation puts the formation energy without anion corrections at -1172 meV/atom.

Entry 3:
## YCoW (PBE)

Data for a geometry-optimized YCoW structure.

```
YCoW
1.0
6.178 0.000 0.000
0.000 6.178 0.000
0.000 0.000 6.178
Y Co W
4 4 4
direct
0.000 0.000 0.000 Y
0.000 0.500 0.500 Y
0.500 0.000 0.500 Y
0.500 0.500 0.000 Y
0.250 0.250 0.750 Co
0.250 0.750 0.250 Co
0.750 0.250 0.250 Co
0.750 0.750 0.750 Co
0.000 0.000 0.500 W
0.000 0.500 0.000 W
0.500 0.000 0.000 W
0.500 0.500 0.500 W
```

## Properties
For the energy above the most stable polymorph in this dataset, the calculation gives 1.31 eV per formula unit. For the total energy, the calculation gives -98.4 eV/cell. The calculation puts the energy of formation from the pure elements at 1.9 eV per formula unit. Its space group is F-43m, No. 216. The calculation puts the density of states at the Fermi level at 3.3 states/eV/f.u.

Entry 4:
## Cd6SnHg12 (PBE)

Data for a geometry-optimized Cd6SnHg12 structure.

```
Cd6SnHg12
1.0
5.245 3.028 5.243
-5.245 3.028 5.243
0.000 -6.056 5.243
Cd Sn Hg
6 1 12
direct
0.195 0.756 0.400 Cd
0.244 0.600 0.805 Cd
0.400 0.195 0.756 Cd
0.600 0.805 0.244 Cd
0.756 0.400 0.195 Cd
0.805 0.244 0.600 Cd
0.500 0.500 0.500 Sn
0.038 0.287 0.928 Hg
0.072 0.962 0.713 Hg
0.096 0.416 0.346 Hg
0.287 0.928 0.038 Hg
0.346 0.096 0.416 Hg
0.416 0.346 0.096 Hg
0.584 0.654 0.904 Hg
0.654 0.904 0.584 Hg
0.713 0.072 0.962 Hg
0.904 0.584 0.654 Hg
0.928 0.038 0.287 Hg
0.962 0.713 0.072 Hg
```

## Properties
For the energy above the most stable polymorph in this dataset, the calculation gives 0.09 eV per formula unit. For the total energy, the calculation gives -12.3 eV/cell. The calculation puts the energy of formation from the pure elements at 0.8 eV per formula unit. Its space group is R-3, No. 148. The calculation puts the density of states at the Fermi level at 6.3 states/eV/f.u.

Entry 5:
## Pa3Ni2P6 (PBE)

Data for a geometry-optimized Pa3Ni2P6 structure.

```
Pa3Ni2P6
1.0
-2.088 2.088 11.524
2.088 -2.088 11.524
2.088 2.088 -11.524
Pa Ni P
3 2 6
direct
0.000 0.000 0.000 Pa
0.172 0.172 0.000 Pa
0.828 0.828 0.000 Pa
0.385 0.385 0.000 Ni
0.615 0.615 0.000 Ni
0.082 0.582 0.500 P
0.291 0.291 0.000 P
0.418 0.918 0.500 P
0.582 0.082 0.500 P
0.709 0.709 0.000 P
0.918 0.418 0.500 P
```

## Properties
For the total energy, the calculation gives -82.2 eV/cell. The calculation puts the energy of formation from the pure elements at -9.7 eV per formula unit. Its space group is I4/mmm, No. 139. The calculation puts the density of states at the Fermi level at 6.2 states/eV/f.u.

Entry 6:
## PaTi2Si2 (PBE)

Data for a geometry-optimized PaTi2Si2 structure.

```
PaTi2Si2
1.0
4.320 -5.171 0.000
4.320 5.171 0.000
-3.058 0.000 4.388
Pa Ti Si
2 4 4
direct
0.109 0.891 0.750 Pa
0.891 0.109 0.250 Pa
0.227 0.425 0.014 Ti
0.425 0.227 0.514 Ti
0.575 0.773 0.486 Ti
0.773 0.575 0.986 Ti
0.187 0.813 0.250 Si
0.383 0.617 0.750 Si
0.617 0.383 0.250 Si
0.813 0.187 0.750 Si
```

## Properties
For the total energy, the calculation gives -74.2 eV/cell. Its space group is C2/c, No. 15. The calculation puts the density of states at the Fermi level at 7.0 states/eV/f.u. The calculation puts the formation energy without anion corrections at -198 meV/atom.

Entry 7:
## PmCd23Hg6 (PBE)

Data for a geometry-optimized PmCd23Hg6 structure.

```
PmCd23Hg6
1.0
0.000 7.117 7.117
7.117 0.000 7.117
7.117 7.117 0.000
Pm Cd Hg
1 23 6
direct
0.000 0.000 0.000 Pm
0.000 0.000 0.500 Cd
0.000 0.500 0.000 Cd
0.000 0.500 0.500 Cd
0.129 0.624 0.624 Cd
0.151 0.151 0.151 Cd
0.151 0.151 0.548 Cd
0.151 0.548 0.151 Cd
0.376 0.376 0.376 Cd
0.376 0.376 0.871 Cd
0.376 0.871 0.376 Cd
0.452 0.849 0.849 Cd
0.500 0.000 0.000 Cd
0.500 0.000 0.500 Cd
0.500 0.500 0.000 Cd
0.500 0.500 0.500 Cd
0.548 0.151 0.151 Cd
0.624 0.129 0.624 Cd
0.624 0.624 0.129 Cd
0.624 0.624 0.624 Cd
0.849 0.452 0.849 Cd
0.849 0.849 0.452 Cd
0.849 0.849 0.849 Cd
0.871 0.376 0.376 Cd
0.227 0.227 0.773 Hg
0.227 0.773 0.227 Hg
0.227 0.773 0.773 Hg
0.773 0.227 0.227 Hg
0.773 0.227 0.773 Hg
0.773 0.773 0.227 Hg
```

## Properties
For the total energy, the calculation gives -27.4 eV/cell. The calculation puts the energy of formation from the pure elements at 0.2 eV per formula unit. Its space group is Fm-3m, No. 225. The calculation puts the density of states at the Fermi level at 15.5 states/eV/f.u.

Entry 8:
## ReSiTcRu (PBE)

Data for a geometry-optimized ReSiTcRu structure.

```
ReSiTcRu
1.0
8.578 0.000 0.000
0.000 3.852 0.000
-1.532 0.000 3.437
Re Si Tc Ru
2 2 2 2
direct
0.000 0.000 0.000 Re
0.500 0.500 0.000 Re
0.249 0.000 0.694 Si
0.749 0.500 0.694 Si
0.253 0.500 0.180 Tc
0.753 0.000 0.180 Tc
0.498 0.000 0.510 Ru
0.998 0.500 0.510 Ru
```

## Properties
For the total energy, the calculation gives -75.2 eV/cell. Its space group is Cm, No. 8. The calculation puts the density of states at the Fermi level at 2.9 states/eV/f.u. The calculation puts the formation energy without anion corrections at -26 meV/atom.

Q: What is the formula in the sixth record?
A: PaTi2Si2